Record 1
# LiThGa, optimized geometry, DFT PBE-GGA
# Calculated formation energy, eV per atom: -0.321
# D(E_F), states/eV per cell: 4.65
# Electronic total energy, eV per atom: -4.441
data_LiThGa
_space_group_name_H-M_alt 'P 1'
_space_group_IT_number 1
_cell_length_a 4.5685
_cell_length_b 7.1831
_cell_length_c 7.1831
_cell_angle_alpha 120.00
_cell_angle_beta 90.00
_cell_angle_gamma 90.00
loop_
_space_group_symop_operation_xyz
'x,y,z'
loop_
_atom_site_label
_atom_site_fract_x
_atom_site_fract_y
_atom_site_fract_z
_atom_site_occupancy
Ga1 0.5000 0.6667 0.3333 1
Ga2 0.5000 0.3333 0.6667 1
Ga3 0.0000 0.0000 0.0000 1
Th1 0.0000 0.5656 0.5656 1
Th2 0.0000 0.0000 0.4344 1
Th3 0.0000 0.4344 0.0000 1
Li1 0.5000 0.0000 0.7713 1
Li2 0.5000 0.7713 0.0000 1
Li3 0.5000 0.2287 0.2287 1

---

Record 2
# LiThGa, optimized geometry, DFT PBE-GGA
# Calculated formation energy, eV per atom: -0.261
# D(E_F), states/eV per cell: 1.85
# Electronic total energy, eV per atom: -4.381
data_LiThGa
_space_group_name_H-M_alt 'P 1'
_space_group_IT_number 1
_cell_length_a 3.5137
_cell_length_b 4.6802
_cell_length_c 4.6802
_cell_angle_alpha 120.00
_cell_angle_beta 90.00
_cell_angle_gamma 90.00
loop_
_space_group_symop_operation_xyz
'x,y,z'
loop_
_atom_site_label
_atom_site_fract_x
_atom_site_fract_y
_atom_site_fract_z
_atom_site_occupancy
Ga1 0.1666 0.0000 0.0000 1
Th1 0.6666 0.3333 0.6667 1
Li1 0.1668 0.6667 0.3333 1